[1]
The following is a PBE-GGA calculation of crystalline CsRu5Se8 at its relaxed geometry, from Alexandria via LeMat-Bulk.

The structure in POSCAR format:
```
CsRu5Se8
1.0
-3.5421 -1.1267 0.1352
0.9361 -3.9057 -8.0208
4.1038 -6.0293 6.1068
Ru Se Cs
5 8 1
Direct
0.3396 0.0026 0.6792 Ru
0.6468 0.9883 0.2936 Ru
0.2970 0.6931 0.5940 Ru
0.0197 0.9921 0.0394 Ru
0.7031 0.3115 0.4062 Ru
0.1789 0.4826 0.3578 Se
0.4346 0.8612 0.8691 Se
0.9151 0.1492 0.8301 Se
0.5695 0.1835 0.1390 Se
0.0942 0.8122 0.1884 Se
0.7569 0.8538 0.5137 Se
0.8227 0.5260 0.6454 Se
0.2375 0.1471 0.4750 Se
0.4845 0.4967 0.9689 Cs
```

Properties
calculated total energy: -79.99 eV/cell
volume: 21.48 Å³/atom


[2]
The following is a PBE-GGA calculation of crystalline Cs3RuSe at its relaxed geometry, from Alexandria via LeMat-Bulk.

The structure in POSCAR format:
```
Cs3RuSe
1.0
5.7009 0.0000 0.0000
0.0000 5.7009 0.0000
0.0000 0.0000 5.7009
Se Cs Ru
1 3 1
Direct
0.5000 0.5000 0.5000 Se
0.5000 0.0000 0.0000 Cs
0.0000 0.0000 0.5000 Cs
0.0000 0.5000 0.0000 Cs
0.0000 0.0000 0.0000 Ru
```

Properties
ΔE to the lowest computed polymorph: 0 meV/atom
calculated total energy: -13.46 eV/cell
volume: 37.06 Å³/atom


no.,density of states at the Fermi level (states/eV/cell),E_form (uncorrected) (meV/atom)
1,4.48,-348.8
2,4.63,372.1